Entry from Alexandria: a relaxed structure of MoOs2Se (PBE).

Output
For the total DFT energy (no corrections), the calculation gives -8.4262 eV/atom. The uncorrected formation energy is 0.768 eV/atom. For the total moment, the calculation gives 0.00 μB/f.u. The calculation puts the volume at 15.9 Å³ per atom.

a = 2.7717 Å, b = 2.7717 Å, c = 9.4546 Å
α = 90.00°, β = 90.00°, γ = 118.88°
Last column: nearest neighbours and their distance in Å.
Fractional positions:
Mo: 0.5000 0.5000 0.7594  2 Os 2.67, 6 Mo 2.77-2.82, 2 Se 2.80
Os: 0.0000 0.0000 0.9996  8 Os 2.66-2.82, 2 Mo 2.67
Os: 0.5000 0.5000 0.2376  8 Os 2.66-2.82, 2 Se 2.88
Se: 0.0000 0.0000 0.5034  6 Se 2.77-2.82, 2 Mo 2.80, 2 Os 2.88

Entry from Alexandria: a relaxed structure of MoOs2Se (PBE).

Output
For the total DFT energy (no corrections), the calculation gives -8.4730 eV/atom. The uncorrected formation energy is 0.721 eV/atom. For the total moment, the calculation gives 0.00 μB/f.u. The calculation puts the volume at 15.3 Å³ per atom.

a = 4.8223 Å, b = 4.8223 Å, c = 4.8223 Å
α = 131.81°, β = 131.81°, γ = 70.52°
Last column: nearest neighbours and their distance in Å.
Fractional positions:
Mo: 0.7500 0.2500 0.5000  8 Os 2.78, 4 Se 2.78
Os: 0.0000 0.0000 0.0000  4 Se 2.78, 4 Mo 2.78, 4 Os 2.78
Os: 0.2500 0.7500 0.5000  4 Mo 2.78, 4 Se 2.78, 4 Os 2.78
Se: 0.5000 0.5000 0.0000  8 Os 2.78, 4 Mo 2.78

Entry from Alexandria: a relaxed structure of Mo2OsSe (PBE).

Output
For the total DFT energy (no corrections), the calculation gives -8.7863 eV/atom. The uncorrected formation energy is 0.308 eV/atom. For the total moment, the calculation gives 0.00 μB/f.u. The calculation puts the volume at 15.3 Å³ per atom.

a = 5.2296 Å, b = 5.2296 Å, c = 5.2296 Å
α = 146.23°, β = 129.07°, γ = 62.52°
Last column: nearest neighbours and their distance in Å.
Fractional positions:
Mo: 0.9798 0.9798 0.0000  2 Se 2.56, 4 Mo 2.74, 2 Os 2.85
Mo: 0.5202 0.5202 0.0000  2 Se 2.56, 4 Mo 2.74, 2 Os 2.85
Os: 0.2500 0.7500 0.5000  4 Se 2.71, 4 Mo 2.85, 2 Os 3.04
Se: 0.7500 0.2500 0.5000  4 Mo 2.56, 4 Os 2.71

Entry from Alexandria: a relaxed structure of MoOsSe2 (PBE).

Output
For the total DFT energy (no corrections), the calculation gives -7.1988 eV/atom. The uncorrected formation energy is 0.059 eV/atom. For the total moment, the calculation gives 0.00 μB/f.u. The calculation puts the volume at 19.6 Å³ per atom.

a = 9.9227 Å, b = 9.9227 Å, c = 9.9227 Å
α = 17.66°, β = 17.66°, γ = 17.66°
Last column: nearest neighbours and their distance in Å.
Fractional positions:
Mo: 0.4961 0.4961 0.4961  3 Se 2.52
Os: 0.7536 0.7536 0.7536  3 Se 2.51
Se: 0.0259 0.0259 0.0259  3 Os 2.51
Se: 0.2244 0.2244 0.2244  3 Mo 2.52

Entry from Alexandria: a relaxed structure of Mo2OsSe (PBE).

Output
For the total DFT energy (no corrections), the calculation gives -8.6440 eV/atom. The uncorrected formation energy is 0.450 eV/atom. For the total moment, the calculation gives 0.00 μB/f.u. The calculation puts the volume at 15.6 Å³ per atom.

a = 4.8857 Å, b = 4.8857 Å, c = 2.9174 Å
α = 90.00°, β = 90.00°, γ = 115.99°
Last column: nearest neighbours and their distance in Å.
Fractional positions:
Mo: 0.0000 0.0000 0.0000  2 Mo 2.59, 4 Os 2.85, 4 Se 2.85
Mo: 0.5000 0.5000 0.0000  2 Mo 2.59, 4 Se 2.85, 4 Os 2.85
Os: 0.5000 0.0000 0.5000  2 Se 2.59, 8 Mo 2.85
Se: 0.0000 0.5000 0.5000  2 Os 2.59, 8 Mo 2.85

Entry from Alexandria: a relaxed structure of MoOsSe2 (PBE).

Output
For the total DFT energy (no corrections), the calculation gives -6.5606 eV/atom. The uncorrected formation energy is 0.697 eV/atom. For the total moment, the calculation gives 0.00 μB/f.u. The calculation puts the volume at 16.3 Å³ per atom.

a = 4.9057 Å, b = 4.9057 Å, c = 4.9057 Å
α = 131.35°, β = 131.35°, γ = 71.26°
Last column: nearest neighbours and their distance in Å.
Fractional positions:
Mo: 0.5000 0.5000 0.0000  8 Se 2.84-2.86, 4 Os 2.84
Os: 0.7500 0.2500 0.5000  4 Mo 2.84, 8 Se 2.84-2.86
Se: 0.0000 0.0000 0.0000  4 Os 2.84, 4 Se 2.84, 4 Mo 2.86
Se: 0.2500 0.7500 0.5000  4 Mo 2.84, 4 Se 2.84, 4 Os 2.86

Entry from Alexandria: a relaxed structure of MoOsSe2 (PBE).

Output
For the total DFT energy (no corrections), the calculation gives -6.7860 eV/atom. The uncorrected formation energy is 0.471 eV/atom. For the total moment, the calculation gives 0.00 μB/f.u. The calculation puts the volume at 18.8 Å³ per atom.

a = 2.8679 Å, b = 2.8679 Å, c = 10.1153 Å
α = 90.00°, β = 90.00°, γ = 115.46°
Last column: nearest neighbours and their distance in Å.
Fractional positions:
Mo: 0.0000 0.0000 0.5202  2 Os 2.59, 2 Se 2.64, 4 Mo 2.87
Os: 0.5000 0.5000 0.7270  2 Mo 2.59, 2 Se 2.68, 4 Os 2.87
Se: 0.0000 0.0000 0.9448  2 Os 2.68, 4 Se 2.87
Se: 0.5000 0.5000 0.3079  2 Mo 2.64, 4 Se 2.87

Entry from Alexandria: a relaxed structure of MoOsSe2 (PBE).

Output
For the total DFT energy (no corrections), the calculation gives -6.3952 eV/atom. The uncorrected formation energy is 0.862 eV/atom. For the total moment, the calculation gives 0.00 μB/f.u. The calculation puts the volume at 16.7 Å³ per atom.

a = 4.5502 Å, b = 4.5502 Å, c = 4.5502 Å
α = 60.00°, β = 60.00°, γ = 60.00°
Last column: nearest neighbours and their distance in Å.
Fractional positions:
Mo: 0.5000 0.5000 0.5000  4 Se 2.79, 4 Os 2.79
Os: 0.2500 0.2500 0.2500  4 Mo 2.79, 4 Se 2.79
Se: 0.0000 0.0000 0.0000  4 Se 2.79, 4 Os 2.79
Se: 0.7500 0.7500 0.7500  4 Se 2.79, 4 Mo 2.79